This record from Alexandria via LeMat-Bulk describes a relaxed structure of As2PdW2. The functional is GGA-PBE.

POSCAR file:
```
As2PdW2
1.0
7.2119 0.0000 0.0000
0.0000 7.2119 0.0000
0.0000 0.0000 3.0828
As Pd W
4 2 4
direct
0.1501 0.3499 0.0000 As
0.3499 0.8499 0.0000 As
0.6501 0.1501 0.0000 As
0.8499 0.6501 0.0000 As
0.0000 0.0000 0.0000 Pd
0.5000 0.5000 0.0000 Pd
0.1442 0.6442 0.5000 W
0.3558 0.1442 0.5000 W
0.6442 0.8558 0.5000 W
0.8558 0.3558 0.5000 W
```

Offset from the most stable computed form: 0.0 meV/atom
Energy relative to the elements: 272 meV per atom
VASP energy: -39.04 eV/f.u.